## LiLaHg3 (PBE)

Data for crystalline LiLaHg3 at its relaxed geometry.

Summary:
Crystal system ... cubic
D(E_F) ... 5.407 states/eV per cell
Calculated total energy ... -1.2528 eV per atom
Distance to the lowest polymorph of the same formula ... 0.629 eV per atom
ΔH_f (0 K) ... 0.297 eV/atom
Mass density ... 5.60 Mg/m³

Cell and atoms, written as CIF:
```
data_LiLaHg3
_chemical_formula_sum 'Li1 La1 Hg3'
_cell_length_a 6.052
_cell_length_b 6.052
_cell_length_c 6.052
_cell_angle_alpha 90.00
_cell_angle_beta 90.00
_cell_angle_gamma 90.00
_space_group_name_H-M_alt 'P m -3 m'
_space_group_IT_number 221
_space_group_name_Hall '-P 4 2 3'
loop_
_atom_site_label
_atom_site_type_symbol
_atom_site_fract_x
_atom_site_fract_y
_atom_site_fract_z
Li1 Li 0.000 0.000 0.000
La1 La 0.500 0.500 0.500
Hg1 Hg 0.000 0.500 0.500
```